# LaPd3C

LaPd3C after structural relaxation (PBEsol, Alexandria via LeMat-Bulk).

CIF file:
```
data_LaPd3C
_space_group_name_H-M_alt 'P 1'
_space_group_IT_number 1
_space_group_name_Hall 'P 1'
_cell_length_a 5.0111
_cell_length_b 5.0111
_cell_length_c 5.0111
_cell_angle_alpha 90.00
_cell_angle_beta 90.00
_cell_angle_gamma 90.00
loop_
_atom_site_label
_atom_site_fract_x
_atom_site_fract_y
_atom_site_fract_z
Pd1 0.0000 0.0000 0.5000
C1 0.5000 0.5000 0.5000
Pd2 0.0000 0.5000 0.0000
La1 0.0000 0.0000 0.0000
Pd3 0.5000 0.0000 0.0000
```

Values from the calculation:
The crystal system is cubic. The formation energy from the elements comes out at 2124.7 meV per atom. The total moment is 1.24 μB per formula unit.